No. 1
Here is a geometry-optimized TbTl2Pd structure from Alexandria. Energies are from PBE-GGA.

Cell lengths 3.4550, 3.4550, 31.2967 Å; angles 90.00, 90.00, 120.00 degrees
Closest atoms and distances in Å follow each position.
Space group R-3m (No. 166, hexagonal axes)
Unique sites:
1 Tb 0.0000 0.0000 0.0000  2 Tl 3.14, 6 Tb 3.46
2 Tl 0.0000 0.0000 0.1005  3 Pd 2.88, 1 Tb 3.14
3 Pd 0.0000 0.0000 0.5000  6 Tl 2.88

formation energy from the elements = 72 meV/atom



No. 2
Here is a geometry-optimized KCdAu structure from Alexandria. Energies are from PBE-GGA.

Cell lengths 5.4676, 4.8335, 7.3804 Å; angles 90.00, 93.85, 90.00 degrees
Closest atoms and distances in Å follow each position.
Space group P2_1/m (No. 11)
Unique sites:
1 K 0.2394 0.2500 0.3452  3 Au 3.33-3.42, 1 Cd 3.64
2 Cd 0.3426 0.2500 0.8633  4 Au 2.84-2.90
3 Au 0.1523 0.7500 0.0197  4 Cd 2.84-2.90, 2 Au 2.94

formation energy from the elements = -219 meV/atom



No. 3
Here is a geometry-optimized La2H2SCl structure from Alexandria. Energies are from PBE-GGA.

Cell lengths 4.0339, 4.0339, 8.0283 Å; angles 90.00, 90.00, 120.00 degrees
Closest atoms and distances in Å follow each position.
Space group P-3m1 (No. 164)
Unique sites:
1 La 0.3333 0.6667 0.2229  3 H 2.35
2 H 0.3333 0.6667 0.7405  3 La 2.35
3 S 0.0000 0.0000 0.0000  6 La 2.94, 6 H 3.12
4 Cl 0.0000 0.0000 0.5000  6 H 3.03, 6 La 3.22

electronic total energy = -5.219 eV/atom



No. 4
Here is a geometry-optimized Ce2PuZr structure from Alexandria. Energies are from PBE-GGA.

Cell lengths 5.5401, 5.5401, 3.2907 Å; angles 90.00, 90.00, 90.00 degrees
Closest atoms and distances in Å follow each position.
Space group P4/mmm (No. 123)
Unique sites:
1 Ce 0.0000 0.5000 0.0000  4 Zr 3.22, 4 Pu 3.22, 2 Ce 3.29
2 Pu 0.0000 0.0000 0.5000  8 Ce 3.22, 2 Pu 3.29
3 Zr 0.5000 0.5000 0.5000  8 Ce 3.22, 2 Zr 3.29

formation energy from the elements = 175 meV/atom



No. 5
Here is a geometry-optimized PuMgAu2 structure from Alexandria. Energies are from PBE-GGA.

Cell lengths 5.2376, 5.2376, 3.1293 Å; angles 90.00, 90.00, 90.00 degrees
Closest atoms and distances in Å follow each position.
Space group P4/mmm (No. 123)
Unique sites:
1 Pu 0.0000 0.0000 0.0000  8 Au 3.05, 2 Pu 3.13
2 Mg 0.5000 0.5000 0.0000  8 Au 3.05, 2 Mg 3.13
3 Au 0.0000 0.5000 0.5000  4 Mg 3.05, 4 Pu 3.05, 2 Au 3.13

formation energy from the elements = -427 meV/atom



No. 6
Here is a geometry-optimized ZrFeSe2 structure from Alexandria. Energies are from PBE-GGA.

Cell lengths 3.3386, 3.3386, 6.4922 Å; angles 90.00, 90.00, 90.00 degrees
Closest atoms and distances in Å follow each position.
Space group P4/mmm (No. 123)
Unique sites:
1 Zr 0.0000 0.0000 0.0000  8 Se 2.86
2 Fe 0.0000 0.0000 0.5000  8 Se 2.87
3 Se 0.5000 0.5000 0.2488  4 Zr 2.86, 4 Fe 2.87

ΔE_f (raw) = -489 meV per atom